A geometry-optimized Be4Si2H2O9 structure, computed with PBEsol.

For the total energy, the calculation gives -7.284 eV/atom. The calculation puts the volume at 604.6 Å³ per cell. The value obtained for the density of states at the Fermi level is 0.000 states/eV/f.u.

The structure belongs to space group Cmc2_1 (No. 36); the cell edges are 8.709, 15.185 and 4.571 Å and the angles 90.00°, 90.00° and 90.00°. The asymmetric unit holds Be at (0.171, 0.054, 0.000), Be at (0.173, 0.279, 0.506), Si at (0.175, 0.386, 0.004), H at (0.000, 0.137, 0.210), H at (0.000, 0.197, 0.725), O at (0.000, 0.093, 0.053), O at (0.000, 0.241, 0.567), O at (0.000, 0.418, 0.068), O at (0.205, 0.290, 0.156), O at (0.206, 0.042, 0.650) and O at (0.208, 0.376, 0.654).